No. 1
Sm3Zn3Cd | PBE-GGA | optimized geometry

Cell lengths 4.627, 3.601, 10.545 Å; angles 99.83, 102.67, 90.00 degrees
Sites, in units of the cell vectors:
Sm 0.302 0.802 0.604
Sm 0.692 0.192 0.385
Sm 0.007 0.007 0.015
Zn 0.139 0.639 0.278
Zn 0.857 0.357 0.713
Zn 0.569 0.569 0.138
Cd 0.434 0.434 0.868

Summary:
Mass density (g cm⁻³): 7.5
V (Å³/atom): 24.11
Final energy (eV/atom): -2.9788
Fermi-level density of states (states/eV per atom): 0.981
Formation energy from the elements (eV/atom): -0.2796

No. 2
SmZn2Cd9 | PBE-GGA | optimized geometry

Cell lengths 7.512, 9.133, 9.133 Å; angles 80.26, 65.72, 65.72 degrees
Sites, in units of the cell vectors:
Sm 0.500 0.000 0.000
Sm 0.250 0.500 0.500
Zn 0.875 0.250 0.750
Zn 0.875 0.750 0.250
Zn 0.875 0.250 0.250
Zn 0.375 0.750 0.750
Cd 0.750 0.500 0.500
Cd 0.000 0.000 0.000
Cd 0.994 0.926 0.683
Cd 0.602 0.074 0.317
Cd 0.669 0.183 0.574
Cd 0.427 0.817 0.426
Cd 0.756 0.817 0.574
Cd 0.148 0.183 0.426
Cd 0.081 0.926 0.317
Cd 0.323 0.074 0.683
Cd 0.756 0.574 0.817
Cd 0.148 0.426 0.183
Cd 0.081 0.317 0.926
Cd 0.323 0.683 0.074
Cd 0.994 0.683 0.926
Cd 0.602 0.317 0.074
Cd 0.669 0.574 0.183
Cd 0.427 0.426 0.817

Summary:
Mass density (g cm⁻³): 8.2
V (Å³/atom): 21.69
Final energy (eV/atom): -1.3771
Fermi-level density of states (states/eV per atom): 0.356
Formation energy from the elements (eV/atom): -0.0851

The highest mass density belongs to which entry?
SmZn2Cd9

Repeat the second record exactly.
SmZn2Cd9 | PBE-GGA | optimized geometry

Cell lengths 7.512, 9.133, 9.133 Å; angles 80.26, 65.72, 65.72 degrees
Sites, in units of the cell vectors:
Sm 0.500 0.000 0.000
Sm 0.250 0.500 0.500
Zn 0.875 0.250 0.750
Zn 0.875 0.750 0.250
Zn 0.875 0.250 0.250
Zn 0.375 0.750 0.750
Cd 0.750 0.500 0.500
Cd 0.000 0.000 0.000
Cd 0.994 0.926 0.683
Cd 0.602 0.074 0.317
Cd 0.669 0.183 0.574
Cd 0.427 0.817 0.426
Cd 0.756 0.817 0.574
Cd 0.148 0.183 0.426
Cd 0.081 0.926 0.317
Cd 0.323 0.074 0.683
Cd 0.756 0.574 0.817
Cd 0.148 0.426 0.183
Cd 0.081 0.317 0.926
Cd 0.323 0.683 0.074
Cd 0.994 0.683 0.926
Cd 0.602 0.317 0.074
Cd 0.669 0.574 0.183
Cd 0.427 0.426 0.817

Summary:
Mass density (g cm⁻³): 8.2
V (Å³/atom): 21.69
Final energy (eV/atom): -1.3771
Fermi-level density of states (states/eV per atom): 0.356
Formation energy from the elements (eV/atom): -0.0851

Among the records above, which one has the lowest V?
SmZn2Cd9